Sr8Pt3Br4N, relaxed, DFT PBE; total DFT energy (no corrections) = -4.1264 eV/atom; formation energy from raw total energies = -1.21 eV per atom
1.0
-5.574 6.429 1.350
-4.142 -4.961 6.528
8.466 1.409 0.755
Sr Br Pt N
8 4 3 1
Direct
0.783 0.306 0.565
0.217 0.694 0.977
0.217 0.694 0.435
0.260 0.281 0.521
0.759 0.694 0.977
0.783 0.306 0.023
0.740 0.719 0.479
0.241 0.306 0.023
0.000 0.000 0.000
0.000 0.000 0.500
0.500 0.000 0.000
0.500 0.000 0.500
0.500 0.500 0.500
0.500 0.500 0.000
0.000 0.500 0.500
0.000 0.500 0.000